Here is a relaxed K6VP4 crystal from Alexandria. Energies are from PBE. Values from VASP.

Output
Crystal system: hexagonal
Energy, eV per atom: -3.781
Density, g cm⁻³: 1.9

Structure (Quantum ESPRESSO input):
```
&SYSTEM
  ibrav = 0, nat = 22, ntyp = 3
/
ATOMIC_SPECIES
P 30.97 P.upf
K 39.10 K.upf
V 50.94 V.upf
ATOMIC_POSITIONS angstrom
P -2.7674 2.3544 2.6540
P -5.8841 1.4835 4.6488
P -0.9030 7.3413 1.7942
P 2.0944 8.9010 3.5361
P 1.1613 5.3673 4.1577
P -2.8867 3.0432 6.3907
P -1.0222 8.0301 5.5308
P -5.7077 6.8823 3.6592
K -8.7322 5.6096 3.7973
K -0.4279 5.2159 7.0280
K -4.2478 7.9431 6.4033
K 3.2830 3.0467 2.5846
K -0.2494 4.1854 1.4375
K -5.7662 3.6950 2.1763
K 3.1554 3.7836 6.5819
K -5.8937 4.4319 6.1735
K 4.2350 6.5189 4.0435
K -2.5597 5.3635 4.0396
K -0.0510 2.1151 4.7186
K -4.0693 6.9125 0.8129
V -3.5832 1.6457 4.6923
V 0.3193 7.4428 3.7482
CELL_PARAMETERS angstrom
-2.9666 7.3121 -1.4426
-8.2362 -2.3014 5.2715
7.9210 4.1217 4.6031
```